# 1
Tl2PIr: relaxed, PBE.

Results
- total moment (μB per formula unit) = 0.0
- total DFT energy (no corrections) (eV per cell) = -18.9
- polymorph energy (0 for the lowest one) (meV/atom) = 115
- space-group type = Pmm2, No. 25
- energy of formation (kcal/mol of atoms) = 0.68
- density of states at the Fermi level (states/eV per cell) = 2.64

Unit cell a=3.0860 b=3.3386 c=8.8567 alpha=90.00 beta=90.00 gamma=90.00
Sites, in units of the cell vectors:
Ir 0.0000 0.0000 0.5791
P 0.5000 0.5000 0.6731
Tl 0.0000 0.0000 0.9416
Tl 0.5000 0.5000 0.3062

***

# 2
Tl2PIr: relaxed, PBE.

Results
- total moment (μB per formula unit) = 0.0
- total DFT energy (no corrections) (eV per cell) = -18.9
- polymorph energy (0 for the lowest one) (meV/atom) = 109
- space-group type = Amm2, No. 38
- energy of formation (kcal/mol of atoms) = 0.55
- density of states at the Fermi level (states/eV per cell) = 1.33

Unit cell a=3.6151 b=5.6777 c=5.6785 alpha=55.44 beta=90.00 gamma=90.00
Sites, in units of the cell vectors:
Ir 0.0000 0.5467 0.5465
P 0.5000 0.6783 0.6784
Tl 0.0000 0.9703 0.9702
Tl 0.5000 0.3048 0.3048

***

# 3
TlP2Ir: relaxed, PBE.

Results
- total moment (μB per formula unit) = 0.0
- total DFT energy (no corrections) (eV per cell) = -21.6
- polymorph energy (0 for the lowest one) (meV/atom) = 242
- space-group type = Pm, No. 6
- energy of formation (kcal/mol of atoms) = 2.33
- density of states at the Fermi level (states/eV per cell) = 1.28

Unit cell a=3.4895 b=3.9528 c=6.1509 alpha=72.78 beta=90.00 gamma=90.00
Sites, in units of the cell vectors:
Ir 0.5000 0.8473 0.8216
P 0.0000 0.8967 0.0740
P 0.5000 0.2696 0.0522
Tl 0.0000 0.4864 0.5522

***

# 4
TlP2Ir: relaxed, PBE.

Results
- total moment (μB per formula unit) = 0.0
- total DFT energy (no corrections) (eV per cell) = -22.6
- polymorph energy (0 for the lowest one) (meV/atom) = 0
- space-group type = P2/m, No. 10
- energy of formation (kcal/mol of atoms) = -3.24
- density of states at the Fermi level (states/eV per cell) = 1.21

Unit cell a=3.8470 b=4.6427 c=5.3914 alpha=65.28 beta=90.00 gamma=90.00
Sites, in units of the cell vectors:
Ir 0.5000 0.7500 0.7500
P 0.0000 0.9998 0.8266
P 0.0000 0.5002 0.6734
Tl 0.5000 0.2500 0.2500